The following is a PBE calculation of a relaxed structure of Cs2CrBSe4, from the Alexandria database.

Geometry as POSCAR:
```
Cs2CrBSe4
1.0
6.1337 0.0000 0.0000
3.0669 6.9596 0.0000
3.0669 0.0000 12.7022
Se Cs B Cr
8 4 2 2
Direct
0.4974 0.3361 0.5924 Se
0.3241 0.8361 0.0924 Se
0.4259 0.6639 0.4076 Se
0.1665 0.3361 0.4076 Se
0.2526 0.1639 0.9076 Se
0.8398 0.8361 0.9076 Se
0.9102 0.6639 0.5924 Se
0.5835 0.1639 0.0924 Se
0.8228 0.0000 0.3545 Cs
0.9272 0.5000 0.1455 Cs
0.5728 0.5000 0.8545 Cs
0.1772 0.0000 0.6455 Cs
0.2500 0.5000 0.5000 B
0.5000 0.0000 0.0000 B
0.7500 0.5000 0.5000 Cr
0.0000 0.0000 0.0000 Cr
```

* symmetry: Fddd
* formation energy from raw total energies: -0.693 eV per atom
* electronic total energy: -74.98 eV per cell